Ag3Sb, optimized geometry, DFT GGA-PBEsol; raw formation energy = 0.1282 eV/atom; uncorrected energy = -3.495 eV per atom
1.0
3.104 0.000 0.000
-1.552 2.688 0.000
0.000 0.000 27.488
Ag Sb
9 3
Cartesian
0.000 0.000 0.000
0.000 0.000 6.994
0.000 0.000 20.494
0.000 1.792 11.331
0.000 1.792 18.326
0.000 1.792 25.320
1.552 0.896 2.168
1.552 0.896 9.163
1.552 0.896 16.157
0.000 0.000 13.744
0.000 1.792 4.581
1.552 0.896 22.907